# 1
Compound: Li2W2F
Source: the Alexandria database
Functional: PBE+U
Structure: relaxed

abc: 7.6259 7.6259 3.0514
angles: 90.00 90.00 90.00
Closest atoms and distances in Å follow each position.
Space group P4/mbm (No. 127)
Inequivalent atoms, fractional coordinates:
Li: 0.1927 0.3073 0.0000 (multiplicity 4)  6 W 2.67-2.81, 2 F 2.77
W: 0.1037 0.6037 0.5000 (multiplicity 4)  1 W 2.24
F: 0.0000 0.0000 0.0000 (multiplicity 2)  4 Li 2.77, 2 F 3.05

Properties
ΔE to the lowest computed polymorph = 738 meV per atom

# 2
Compound: Li2WF5
Source: the Alexandria database
Functional: PBE+U
Structure: relaxed

abc: 4.1622 9.9194 10.9694
angles: 90.00 90.00 90.00
Closest atoms and distances in Å follow each position.
Space group Cmcm (No. 63)
Inequivalent atoms, fractional coordinates:
Li: 0.0000 0.1391 0.0398 (multiplicity 8)  2 F 1.90-1.97
W: 0.0000 0.1791 0.7500 (multiplicity 4)  6 F 2.08-2.15
F: 0.0000 0.0342 0.6126 (multiplicity 8)  2 Li 1.90-1.97, 1 W 2.08
F: 0.0000 0.2970 0.2500 (multiplicity 4)  2 W 2.09
F: 0.0000 0.3004 0.5874 (multiplicity 8)  3 Li 2.12-2.23, 1 W 2.15

Properties
E = -5.274 eV per atom

# 3
Compound: Li2W2F
Source: the Alexandria database
Functional: PBE+U
Structure: relaxed

abc: 3.6465 3.6465 15.8972
angles: 90.00 90.00 90.00
Closest atoms and distances in Å follow each position.
Space group I4/mmm (No. 139)
Inequivalent atoms, fractional coordinates:
Li: 0.0000 0.0000 0.0877 (multiplicity 4)  1 Li 2.79, 4 F 2.93
W: 0.0000 0.5000 0.2500 (multiplicity 4)  4 W 2.58
F: 0.0000 0.0000 0.5000 (multiplicity 2)  8 Li 2.93

Properties
ΔE to the lowest computed polymorph = 0 meV per atom

# 4
Compound: Li3WF
Source: the Alexandria database
Functional: PBE+U
Structure: relaxed

abc: 4.3037 4.3037 4.3037
angles: 90.00 90.00 90.00
Closest atoms and distances in Å follow each position.
Space group Pm-3m (No. 221)
Inequivalent atoms, fractional coordinates:
Li: 0.0000 0.0000 0.5000 (multiplicity 3)  2 F 2.15
W: 0.5000 0.5000 0.5000 (multiplicity 1)  12 Li 3.04
F: 0.0000 0.0000 0.0000 (multiplicity 1)  6 Li 2.15

Properties
ΔE to the lowest computed polymorph = 0 meV per atom

# 5
Compound: Li3WF9
Source: the Alexandria database
Functional: PBE+U
Structure: relaxed

abc: 15.0190 7.6844 9.6941
angles: 90.00 126.55 90.00
Closest atoms and distances in Å follow each position.
Space group Cc (No. 9)
Inequivalent atoms, fractional coordinates:
Li: 0.0000 0.0537 0.0000 (multiplicity 4)  2 F 1.76
Li: 0.0916 0.3610 0.9207 (multiplicity 4)  2 F 1.75
Li: 0.4073 0.1378 0.5786 (multiplicity 4)  2 F 1.75
W: 0.2494 0.2508 0.7497 (multiplicity 4)  6 F 1.87-1.88
F: 0.1018 0.1444 0.9859 (multiplicity 4)  2 Li 1.75-1.76
F: 0.1052 0.1666 0.6478 (multiplicity 4)  1 W 1.88
F: 0.1893 0.4614 0.6290 (multiplicity 4)  1 W 1.88
F: 0.2490 0.1616 0.5693 (multiplicity 4)  1 W 1.87
F: 0.2498 0.3403 0.9300 (multiplicity 4)  1 W 1.88
F: 0.3095 0.0404 0.8708 (multiplicity 4)  1 W 1.88
F: 0.3936 0.3349 0.8514 (multiplicity 4)  1 W 1.88
F: 0.3983 0.3540 0.5134 (multiplicity 4)  2 Li 1.75-1.76
F: 0.4990 0.0004 0.2501 (multiplicity 4)  2 Li 1.75

Properties
E = -4.885 eV per atom

# 6
Compound: LiWF5
Source: the Alexandria database
Functional: PBE+U
Structure: relaxed

abc: 8.4263 7.5492 8.0554
angles: 90.00 119.43 90.00
Closest atoms and distances in Å follow each position.
Space group C2/c (No. 15)
Inequivalent atoms, fractional coordinates:
Li: 0.0000 0.0872 0.2500 (multiplicity 4)  4 F 1.88-1.91
W: 0.0000 0.5000 0.0000 (multiplicity 4)  6 F 1.98-2.10
F: 0.0000 0.4213 0.7500 (multiplicity 4)  2 W 2.10
F: 0.0208 0.2480 0.4434 (multiplicity 8)  1 Li 1.91, 1 W 1.98
F: 0.2305 0.0210 0.8565 (multiplicity 8)  1 Li 1.88, 1 W 1.98

Properties
E = -5.454 eV per atom

# 7
Compound: LiY2WF
Source: the Alexandria database
Functional: PBE+U
Structure: relaxed

abc: 5.1864 5.1864 3.7384
angles: 90.00 90.00 90.00
Closest atoms and distances in Å follow each position.
Space group P4/mmm (No. 123)
Inequivalent atoms, fractional coordinates:
Li: 0.0000 0.0000 0.0000 (multiplicity 1)  2 F 1.87
Y: 0.0000 0.5000 0.5000 (multiplicity 2)  2 F 2.59
W: 0.5000 0.5000 0.0000 (multiplicity 1)  8 Y 3.20
F: 0.0000 0.0000 0.5000 (multiplicity 1)  2 Li 1.87

Properties
E = -5.515 eV per atom